The following is a DFT calculation (GGA+U) of a geometry-optimized Fe4BrF6 structure.

a b c (Å): 9.1400 7.5725 6.5807
angles (deg): 90.00 133.41 90.00
Closest atoms and distances in Å follow each position.
Space group Cm (No. 8)
One atom of each set of equivalent atoms:
Fe: 0.0000 0.0000 0.0000  6 F 2.09-2.20
Fe: 0.9998 0.2213 0.5315  4 F 2.00-2.19
Fe: 0.1645 0.5000 0.3056  4 F 2.18-2.43
Br: 0.0092 0.5000 0.8002  3 Fe 2.57-2.72
F: 0.1034 0.0000 0.7911  3 Fe 2.10-2.14
F: 0.2143 0.2024 0.2231  2 Fe 2.00-2.09
F: 0.2506 0.3372 0.6459  3 Fe 2.05-2.20
F: 0.4863 0.5000 0.3036  3 Fe 2.09-2.19

The calculation puts the calculated density at 4.19 g/cm³. The value obtained for the calculated total energy is -5.03 eV per atom.